Entry 1:
The following is a GGA-PBE calculation of Zr2BeHgW after structural relaxation, from Alexandria via LeMat-Bulk.

Calculated values
As for the space group: P4/mmm, No. 123. Its energy relative to the elements is 1279.1 meV/atom.

Geometry as POSCAR:
```
Zr2BeHgW
1.0
4.9943 0.0000 0.0000
0.0000 4.9943 0.0000
0.0000 0.0000 5.2762
Zr Be Hg W
2 1 1 1
Cartesian
0.0000 2.4971 0.0000
2.4971 0.0000 0.0000
0.0000 0.0000 2.6381
2.4971 2.4971 2.6381
2.4971 2.4971 0.0000
```

Entry 2:
The following is a GGA-PBE calculation of Dy2NiAuC after structural relaxation, from Alexandria via LeMat-Bulk.

Calculated values
As for the space group: P4/mmm, No. 123. Its energy relative to the elements is -559.6 meV/atom.

Geometry as POSCAR:
```
Dy2NiAuC
1.0
5.0021 0.0000 0.0000
0.0000 5.0021 0.0000
0.0000 0.0000 3.6769
Dy Ni Au C
2 1 1 1
Cartesian
0.0000 2.5010 0.0000
2.5010 0.0000 0.0000
0.0000 0.0000 1.8385
2.5010 2.5010 1.8385
0.0000 0.0000 0.0000
```

Entry 3:
The following is a GGA-PBE calculation of Ta2MnVH after structural relaxation, from Alexandria via LeMat-Bulk.

Calculated values
For the total energy, the calculation gives -9.1352 eV/atom. As for the space group: P4/mmm, No. 123.

Geometry as POSCAR:
```
Ta2MnVH
1.0
4.3987 0.0000 0.0000
0.0000 4.3987 0.0000
0.0000 0.0000 3.2440
Ta Mn V H
2 1 1 1
Cartesian
0.0000 2.1993 0.0000
2.1993 0.0000 0.0000
0.0000 0.0000 1.6220
2.1993 2.1993 1.6220
0.0000 0.0000 0.0000
```

Entry 4:
The following is a GGA-PBE calculation of CsCuI4 after structural relaxation, from Alexandria via LeMat-Bulk.

Calculated values
Its uncorrected formation energy is -0.536 eV per atom. As for the space group: C2/m, No. 12.

Geometry as POSCAR:
```
CsCuI4
1.0
4.1998 -3.9642 0.0000
4.1998 3.9642 0.0000
-1.3366 0.0000 8.6380
Cs Cu I
1 1 4
Cartesian
0.0000 0.0000 0.0000
3.5316 0.0000 4.3190
0.6828 0.0000 3.8036
3.5416 0.0000 1.8200
3.5216 0.0000 6.8180
6.3803 0.0000 4.8344
```

Entry 5:
The following is a GGA-PBE calculation of PrHoIr2 after structural relaxation, from Alexandria via LeMat-Bulk.

Calculated values
The calculation puts the distance to the lowest polymorph of the same formula at 8 meV/atom. As for the space group: Fm-3m, No. 225. Its energy relative to the elements is -635.8 meV/atom.

Geometry as POSCAR:
```
PrHoIr2
1.0
0.0000 3.4966 3.4966
3.4966 0.0000 3.4966
3.4966 3.4966 0.0000
Pr Ho Ir
1 1 2
Cartesian
0.0000 0.0000 0.0000
3.4966 3.4966 3.4966
1.7483 1.7483 1.7483
5.2450 5.2450 5.2450
```

Entry 6:
The following is a GGA-PBE calculation of PuSiSe4 after structural relaxation, from Alexandria via LeMat-Bulk.

Calculated values
Its uncorrected formation energy is -0.541 eV per atom. As for the space group: P-42c, No. 112.

Geometry as POSCAR:
```
PuSiSe4
1.0
6.8596 0.0000 0.0000
0.0000 6.8596 0.0000
0.0000 0.0000 8.2702
Pu Si Se
2 2 8
Cartesian
0.0000 0.0000 0.0000
0.0000 0.0000 4.1351
0.0000 3.4298 2.0676
3.4298 0.0000 6.2027
1.5201 2.0619 3.1252
1.5201 4.7977 1.0099
2.0619 1.5201 7.2604
2.0619 5.3395 5.1450
4.7977 1.5201 5.1450
4.7977 5.3395 7.2604
5.3395 2.0619 1.0099
5.3395 4.7977 3.1252
```

Entry 7:
The following is a GGA-PBE calculation of Mg2PaNbN4 after structural relaxation, from Alexandria via LeMat-Bulk.

Calculated values
Its uncorrected formation energy is -1.125 eV per atom. As for the space group: I-4m2, No. 119.

Geometry as POSCAR:
```
Mg2PaNbN4
1.0
-2.2602 2.2602 4.7138
2.2602 -2.2602 4.7138
2.2602 2.2602 -4.7138
Mg Pa Nb N
2 1 1 4
Cartesian
0.0000 0.0000 0.0000
0.0000 2.2602 2.3569
2.2602 0.0000 2.3569
0.0000 0.0000 4.7138
0.0000 0.0000 2.4282
0.0000 2.2602 0.0376
0.0000 0.0000 6.9993
0.0000 2.2602 4.6761
```

Entry 8:
The following is a GGA-PBE calculation of Zn6CuPd3 after structural relaxation, from Alexandria via LeMat-Bulk.

Calculated values
As for the space group: P2_1/m, No. 11. Its energy relative to the elements is -358.4 meV/atom.

Geometry as POSCAR:
```
Zn6CuPd3
1.0
7.2624 0.0000 0.0000
0.0000 4.4194 0.0000
-3.3703 0.0000 8.9120
Zn Cu Pd
12 2 6
Cartesian
-1.1001 1.1048 2.9579
-0.5100 3.3145 1.5547
-0.7104 1.1048 5.6986
-1.6666 3.3145 8.7109
1.4427 1.1048 3.7917
0.4123 3.3145 6.9887
3.4797 1.1048 1.9233
2.4493 3.3145 5.1203
5.5587 1.1048 0.2011
4.6024 3.3145 3.2134
4.4021 1.1048 7.3572
4.9921 3.3145 5.9541
-0.2676 1.1048 8.3102
4.1597 3.3145 0.6017
0.8481 1.1048 1.0703
-0.1681 3.3145 4.2748
2.1059 3.3145 2.4689
1.7861 1.1048 6.4431
4.0602 1.1048 4.6372
3.0439 3.3145 7.8417
```